1.
A plane-wave DFT calculation with GGA-PBE was carried out for an optimized crystal structure of ThGa8Fe4.

abc: 5.0744 6.7237 6.7237
angles: 81.81 67.83 67.83
Fractional positions:
Fe1 0.5000 0.5000 0.0000
Fe2 0.0000 0.5000 0.0000
Fe3 0.0000 0.0000 0.5000
Fe4 0.5000 0.0000 0.5000
Ga1 0.5000 0.7747 0.2253
Ga2 0.0000 0.6538 0.3462
Ga3 0.0000 0.3462 0.6538
Ga4 0.5000 0.2253 0.7747
Ga5 0.7253 0.7747 0.7747
Ga6 0.3462 0.6538 0.6538
Ga7 0.2747 0.2253 0.2253
Ga8 0.6538 0.3462 0.3462
Th1 0.0000 0.0000 0.0000

Calculated values
The calculated formation energy is -0.263 eV/atom. Its raw total energy is -0.3896 Ry/atom.



2.
A plane-wave DFT calculation with GGA-PBE was carried out for an optimized crystal structure of Th3GaFe.

abc: 3.8515 6.8312 10.0103
angles: 90.00 90.00 90.00
Fractional positions:
Fe1 0.2500 0.2500 0.5956
Fe2 0.7500 0.7500 0.4044
Th1 0.7500 0.7500 0.0848
Th2 0.7500 0.9948 0.6545
Th3 0.2500 0.4948 0.3455
Th4 0.2500 0.2500 0.9152
Th5 0.7500 0.5052 0.6545
Th6 0.2500 0.0052 0.3455
Ga1 0.7500 0.2500 0.1513
Ga2 0.2500 0.7500 0.8487

Calculated values
The calculated formation energy is -0.142 eV/atom. As for the relative energy among the computed polymorphs: 0 meV per atom. Its raw total energy is -0.5066 Ry/atom.



3.
A plane-wave DFT calculation with GGA-PBE was carried out for an optimized crystal structure of ThGa9Fe3.

abc: 5.1181 6.7421 6.8428
angles: 82.35 68.04 69.14
Fractional positions:
Ga1 0.9989 0.3407 0.6399
Ga2 0.6388 0.3407 0.3601
Ga3 0.0000 0.5000 0.0000
Ga4 0.7083 0.7867 0.7761
Ga5 0.0011 0.6593 0.3601
Ga6 0.4843 0.7867 0.2239
Ga7 0.5157 0.2133 0.7761
Ga8 0.3612 0.6593 0.6399
Ga9 0.2917 0.2133 0.2239
Fe1 0.0000 0.0000 0.5000
Fe2 0.5000 0.0000 0.5000
Fe3 0.5000 0.5000 0.0000
Th1 0.0000 0.0000 0.0000

Calculated values
The calculated formation energy is -0.223 eV/atom. Its raw total energy is -0.3559 Ry/atom.



4.
A plane-wave DFT calculation with GGA-PBE was carried out for an optimized crystal structure of Th12GaFe6.

abc: 8.5127 8.5127 8.5127
angles: 109.47 109.47 109.47
Fractional positions:
Th1 0.1798 0.3119 0.4917
Th2 0.3119 0.1321 0.8202
Th3 0.5083 0.8202 0.6881
Th4 0.8202 0.6881 0.5083
Th5 0.8202 0.3119 0.1321
Th6 0.6881 0.8679 0.1798
Th7 0.3119 0.4917 0.1798
Th8 0.1798 0.6881 0.8679
Th9 0.6881 0.5083 0.8202
Th10 0.8679 0.1798 0.6881
Th11 0.4917 0.1798 0.3119
Th12 0.1321 0.8202 0.3119
Fe1 0.8600 0.3600 0.5000
Fe2 0.3600 0.5000 0.8600
Fe3 0.5000 0.1400 0.6400
Fe4 0.6400 0.5000 0.1400
Fe5 0.5000 0.8600 0.3600
Fe6 0.1400 0.6400 0.5000
Ga1 0.0000 0.0000 0.0000

Calculated values
The calculated formation energy is -0.064 eV/atom. Its raw total energy is -0.5573 Ry/atom.



5.
A plane-wave DFT calculation with GGA-PBE was carried out for an optimized crystal structure of Th2Ga3Fe.

abc: 5.8924 5.8924 8.4872
angles: 108.33 108.33 95.41
Fractional positions:
Ga1 0.1716 0.1716 0.3432
Ga2 0.3376 0.8327 0.1702
Ga3 0.1673 0.6624 0.8298
Ga4 0.8284 0.8284 0.6568
Ga5 0.8327 0.3376 0.1702
Ga6 0.6624 0.1673 0.8298
Th1 0.2616 0.2616 0.0000
Th2 0.2500 0.7500 0.5000
Th3 0.7384 0.7384 0.0000
Th4 0.7500 0.2500 0.5000
Fe1 0.6626 0.6626 0.3253
Fe2 0.3374 0.3374 0.6747

Calculated values
The calculated formation energy is -0.436 eV/atom. Its raw total energy is -0.4287 Ry/atom.



6.
A plane-wave DFT calculation with GGA-PBE was carried out for an optimized crystal structure of TmThGaFe.

abc: 4.9978 4.9978 4.9978
angles: 60.00 60.00 60.00
Fractional positions:
Fe1 0.0000 0.0000 0.0000
Ga1 0.5000 0.5000 0.5000
Th1 0.7500 0.7500 0.7500
Tm1 0.2500 0.2500 0.2500

Calculated values
The calculated formation energy is -0.148 eV/atom. Its raw total energy is -0.4405 Ry/atom.



Ordered total moment results: 0.47, 0.00, 0.31, 0.00, 0.28, 0.33; unit μB/atom.